VASP calculation (PBE-GGA) on an optimized crystal structure of CsSrSiCl2.

**E**: -2.43 eV per atom
**Symmetry**: P4/mmm, No. 123
**Total magnetic moment**: 0.000 μB/atom
**Formation energy from raw total energies**: -0.100 eV per atom

Cell lengths 5.576, 5.576, 6.549 Å; angles 90.00, 90.00, 90.00 degrees
Positions (direct):
Cl1 0.000 0.500 0.000
Sr1 0.500 0.500 0.500
Cs1 0.000 0.000 0.500
Si1 0.000 0.000 0.000
Cl2 0.500 0.000 0.000

VASP calculation (PBE-GGA) on an optimized crystal structure of CsVSi2Cl.

**E**: -2.32 eV per atom
**Symmetry**: P4/mmm, No. 123
**Total magnetic moment**: 0.561 μB/atom
**Formation energy from raw total energies**: 2.215 eV per atom

Cell lengths 5.753, 5.656, 5.753 Å; angles 90.00, 90.00, 90.00 degrees
Each line ends with the local moment (μB).
Positions (direct):
Si1 0.000 0.000 0.500  -0.14
V1 0.000 0.500 0.000  3.20
Cl1 0.500 0.500 0.500  -0.06
Cs1 0.000 0.000 0.000  0.04
Si2 0.500 0.000 0.000  -0.22

VASP calculation (PBE-GGA) on an optimized crystal structure of CsVSiCl2.

**E**: -2.87 eV per atom
**Symmetry**: P4/mmm, No. 123
**Total magnetic moment**: 1.200 μB/atom
**Formation energy from raw total energies**: 0.949 eV per atom

Cell lengths 6.210, 6.155, 6.210 Å; angles 90.00, 90.00, 90.00 degrees
Each line ends with the local moment (μB).
Positions (direct):
Cl1 0.500 0.000 0.000  0.05
Cl2 0.000 0.000 0.500  0.02
Cs1 0.000 0.000 0.000  0.04
Si1 0.000 0.500 0.000  0.54
V1 0.500 0.500 0.500  3.28

VASP calculation (PBE-GGA) on an optimized crystal structure of CsSiW2Cl.

**E**: -4.75 eV per atom
**Symmetry**: P4/mmm, No. 123
**Total magnetic moment**: 0.000 μB/atom
**Formation energy from raw total energies**: 2.051 eV per atom

Cell lengths 4.504, 6.092, 4.504 Å; angles 90.00, 90.00, 90.00 degrees
Positions (direct):
Cl1 0.000 0.000 0.000
W1 0.000 0.000 0.500
W2 0.500 0.000 0.000
Si1 0.500 0.500 0.500
Cs1 0.000 0.500 0.000